No. 1
AcCeYIn, optimized geometry, DFT PBE; symmetry = F-43m (216); ρ = 7.5 g/cm3; ΔE_f = -0.0213 eV/atom
1.0
0.0000 3.9767 3.9767
3.9767 0.0000 3.9767
3.9767 3.9767 0.0000
Ac Ce Y In
1 1 1 1
Cartesian
0.0000 0.0000 0.0000
5.9651 5.9651 5.9651
1.9884 1.9884 1.9884
3.9767 3.9767 3.9767

=====

No. 2
Ac5CeIr4, optimized geometry, DFT PBE; symmetry = C2/m (12); ρ = 10.4 g/cm3; ΔE_f = -0.6022 eV/atom
1.0
9.3146 -2.1603 0.0000
9.3146 2.1603 0.0000
-2.1263 0.0000 8.0861
Ac Ce Ir
5 1 4
Cartesian
0.0000 0.0000 0.0000
4.8116 0.0000 5.2475
5.9663 0.0000 1.4101
10.5366 0.0000 6.6760
11.6913 0.0000 2.8386
-1.0632 0.0000 4.0431
1.7968 0.0000 4.8120
7.7035 0.0000 5.9666
8.7994 0.0000 2.1195
14.7061 0.0000 3.2742